# 1
Computed, not measured: a relaxed structure of Np2UB6 at the GGA-PBE level of DFT.

Unit cell a=6.0679 b=6.0679 c=6.0679 alpha=150.02 beta=96.88 gamma=90.80
Last column: nearest neighbours and their distance in Å.
Atoms (fractional coordinates):
Np  0.1357  0.1357  0.0000  1 Np 2.31, 6 B 2.47-2.57
Np  0.8643  0.8643  0.0000  1 Np 2.31, 6 B 2.47-2.57
U  0.5000  0.0000  0.5000  12 B 2.83-3.04, 2 U 3.14
B  0.0552  0.3042  0.7509  3 B 1.70-1.82
B  0.2076  0.5000  0.7076  2 B 1.70
B  0.4467  0.6958  0.7509  3 B 1.70-1.82
B  0.5533  0.3042  0.2491  3 B 1.70-1.82
B  0.7924  0.5000  0.2924  2 B 1.70
B  0.9448  0.6958  0.2491  3 B 1.70-1.82

Computed properties:
The formation energy comes out at -0.99 eV/f.u. The calculation puts the total magnetic moment at 2.210 μB/f.u.

=====

# 2
Computed, not measured: a relaxed structure of NpUB at the GGA-PBE level of DFT.

Unit cell a=4.9435 b=4.9435 c=6.4489 alpha=118.55 beta=118.55 gamma=43.95
Last column: nearest neighbours and their distance in Å.
Atoms (fractional coordinates):
Np  0.1594  0.1594  0.1141  1 Np 2.51, 2 U 2.57, 2 B 2.68
Np  0.8406  0.8406  0.8859  1 Np 2.51, 2 U 2.57, 2 B 2.68
U  0.4072  0.4072  0.6708  2 Np 2.57, 5 B 2.64-2.71
U  0.5928  0.5928  0.3292  2 Np 2.57, 5 B 2.64-2.71
B  0.1007  0.1007  0.6393  1 B 1.79
B  0.8993  0.8993  0.3607  1 B 1.79

Computed properties:
The formation energy comes out at -0.13 eV/f.u. The calculation puts the total magnetic moment at 0.000 μB/f.u.

=====

# 3
Computed, not measured: a relaxed structure of NpVB2 at the GGA-PBE level of DFT.

Unit cell a=6.2895 b=6.2895 c=6.2895 alpha=28.21 beta=28.21 gamma=28.21
Last column: nearest neighbours and their distance in Å.
Atoms (fractional coordinates):
Np  0.0000  0.0000  0.0000  6 B 2.51
V  0.5000  0.5000  0.5000  6 B 2.16
B  0.2350  0.2350  0.2350  3 V 2.16
B  0.7650  0.7650  0.7650  3 V 2.16

Computed properties:
The formation energy comes out at 0.37 eV/f.u. The calculation puts the total magnetic moment at 2.157 μB/f.u.

=====

# 4
Computed, not measured: a relaxed structure of NpV2B at the GGA-PBE level of DFT.

Unit cell a=7.9894 b=7.9894 c=7.9894 alpha=21.08 beta=21.08 gamma=21.08
Last column: nearest neighbours and their distance in Å.
Atoms (fractional coordinates):
Np  0.0000  0.0000  0.0000  2 V 2.70, 6 Np 2.92
V  0.1151  0.1151  0.1151  3 B 2.08
V  0.8849  0.8849  0.8849  3 B 2.08
B  0.5000  0.5000  0.5000  6 V 2.08

Computed properties:
The formation energy comes out at 0.95 eV/f.u. The calculation puts the total magnetic moment at 3.865 μB/f.u.

=====

# 5
Computed, not measured: a relaxed structure of Np2VB10 at the GGA-PBE level of DFT.

Unit cell a=5.6667 b=11.2828 c=4.1166 alpha=90.00 beta=90.00 gamma=90.00
Last column: nearest neighbours and their distance in Å.
Atoms (fractional coordinates):
Np  0.2131  0.1358  0.0000  20 B 2.90-3.01, 2 V 3.04
Np  0.2869  0.6358  0.0000  20 B 2.90-3.01, 2 V 3.04
Np  0.7131  0.3642  0.0000  20 B 2.90-3.01, 2 V 3.04
Np  0.7869  0.8642  0.0000  20 B 2.90-3.01, 2 V 3.04
V  0.0000  0.5000  0.5000  8 B 2.19-2.21
V  0.5000  0.0000  0.5000  8 B 2.19-2.21
B  0.0581  0.3078  0.5000  4 B 1.64-1.76
B  0.1203  0.9594  0.5000  4 B 1.64-1.77
B  0.1315  0.8024  0.5000  5 B 1.64-1.77
B  0.2229  0.3821  0.1990  4 B 1.64-1.76
B  0.2229  0.3821  0.8010  4 B 1.64-1.76
B  0.2771  0.8821  0.1990  4 B 1.64-1.76
B  0.2771  0.8821  0.8010  4 B 1.64-1.76
B  0.3685  0.3024  0.5000  5 B 1.64-1.77
B  0.3797  0.4594  0.5000  4 B 1.64-1.77
B  0.4419  0.8078  0.5000  4 B 1.64-1.76
B  0.5581  0.1922  0.5000  4 B 1.64-1.76
B  0.6203  0.5406  0.5000  4 B 1.64-1.77
B  0.6315  0.6976  0.5000  5 B 1.64-1.77
B  0.7229  0.1179  0.1990  4 B 1.64-1.76
B  0.7229  0.1179  0.8010  4 B 1.64-1.76
B  0.7771  0.6179  0.1990  4 B 1.64-1.76
B  0.7771  0.6179  0.8010  4 B 1.64-1.76
B  0.8685  0.1976  0.5000  5 B 1.64-1.77
B  0.8797  0.0406  0.5000  4 B 1.64-1.77
B  0.9419  0.6922  0.5000  4 B 1.64-1.76

Computed properties:
The formation energy comes out at -3.34 eV/f.u. The calculation puts the total magnetic moment at 5.991 μB/f.u.

=====

# 6
Computed, not measured: a relaxed structure of YNpB at the GGA-PBE level of DFT.

Unit cell a=4.1977 b=6.7183 c=6.7183 alpha=119.91 beta=90.00 gamma=90.00
Last column: nearest neighbours and their distance in Å.
Atoms (fractional coordinates):
Y  0.0000  0.0000  0.0000  5 B 2.87-2.90, 2 Np 3.18
Y  0.0000  0.1458  0.5741  5 B 2.87-2.91, 2 Np 3.20
Y  0.0000  0.5741  0.1458  5 B 2.87-2.91, 2 Np 3.20
Np  0.5000  0.3551  0.3551  2 Np 2.52, 4 B 2.56-2.73
Np  0.5000  0.5764  0.7876  2 Np 2.46-2.52, 4 B 2.54-2.74
Np  0.5000  0.7876  0.5764  2 Np 2.46-2.52, 4 B 2.54-2.74
B  0.0000  0.5727  0.5727  6 Np 2.54-2.56
B  0.5000  0.2389  0.9042  3 Np 2.72-2.74, 6 Y 2.89-2.91
B  0.5000  0.9042  0.2389  3 Np 2.72-2.74, 6 Y 2.89-2.91

Computed properties:
The formation energy comes out at 0.42 eV/f.u. The calculation puts the total magnetic moment at 0.233 μB/f.u.

=====

# 7
Computed, not measured: a relaxed structure of YNpB4 at the GGA-PBE level of DFT.

Unit cell a=6.1261 b=11.9661 c=3.9705 alpha=90.00 beta=90.00 gamma=90.00
Last column: nearest neighbours and their distance in Å.
Atoms (fractional coordinates):
Y  0.1185  0.1593  0.0000  14 B 2.77-3.02
Y  0.3815  0.6593  0.0000  14 B 2.77-3.02
Y  0.6185  0.3407  0.0000  14 B 2.77-3.02
Y  0.8815  0.8407  0.0000  14 B 2.77-3.02
Np  0.1206  0.4251  0.0000  1 Np 2.32, 8 B 2.52-2.59
Np  0.3794  0.9251  0.0000  1 Np 2.32, 8 B 2.52-2.59
Np  0.6206  0.0749  0.0000  1 Np 2.32, 8 B 2.52-2.59
Np  0.8794  0.5749  0.0000  1 Np 2.32, 8 B 2.52-2.59
B  0.0181  0.6948  0.5000  3 B 1.81-1.93
B  0.1290  0.9688  0.5000  3 B 1.75-1.92
B  0.1295  0.5551  0.5000  2 B 1.80-1.81
B  0.2037  0.8131  0.5000  3 B 1.82-1.93
B  0.2963  0.3131  0.5000  3 B 1.82-1.93
B  0.3705  0.0551  0.5000  2 B 1.80-1.81
B  0.3710  0.4688  0.5000  3 B 1.75-1.92
B  0.4819  0.1948  0.5000  3 B 1.81-1.93
B  0.5181  0.8052  0.5000  3 B 1.81-1.93
B  0.6290  0.5312  0.5000  3 B 1.75-1.92
B  0.6295  0.9449  0.5000  2 B 1.80-1.81
B  0.7037  0.6869  0.5000  3 B 1.82-1.93
B  0.7963  0.1869  0.5000  3 B 1.82-1.93
B  0.8705  0.4449  0.5000  2 B 1.80-1.81
B  0.8710  0.0312  0.5000  3 B 1.75-1.92
B  0.9819  0.3052  0.5000  3 B 1.81-1.93

Computed properties:
The formation energy comes out at -1.32 eV/f.u. The calculation puts the total magnetic moment at 1.583 μB/f.u.

=====

# 8
Computed, not measured: a relaxed structure of BO at the GGA-PBE level of DFT.

Unit cell a=2.4216 b=2.7265 c=5.5652 alpha=90.00 beta=102.04 gamma=90.00
Last column: nearest neighbours and their distance in Å.
Atoms (fractional coordinates):
B  0.0665  0.2500  0.1386  2 O 1.38
B  0.9335  0.7500  0.8614  2 O 1.38
O  0.3752  0.7500  0.7399  2 B 1.38
O  0.6248  0.2500  0.2601  2 B 1.38

Computed properties:
Its excess energy over the best structure of this formula in the dataset is 0.615 eV per formula unit. The calculation puts the total magnetic moment at 0.000 μB/f.u.

=====

- Look up the total magnetic moment of the seventh one.
  1.583 μB/f.u.

=====

- total magnetic moment of number 1 (Np2UB6)?
  2.210 μB/f.u.

=====

- Number 7 is which compound?
  YNpB4